Compound: Sr2Mg2Cu15
Source: Alexandria
Functional: PBE
Structure: optimized geometry

Summary:
DFT formation energy: -63 meV/atom
ρ: 6.72 g/cm3
E_tot: -3.6415 eV per atom
M_tot: 0.000 μB per atom

Unit cell a=6.672 b=6.672 c=6.672 alpha=82.86 beta=82.86 gamma=82.86
Fractional coordinates of all 19 atoms:
Sr  0.149  0.149  0.149
Sr  0.851  0.851  0.851
Mg  0.397  0.397  0.397
Mg  0.603  0.603  0.603
Cu  0.000  0.500  0.500
Cu  0.159  0.159  0.653
Cu  0.159  0.653  0.159
Cu  0.208  0.500  0.792
Cu  0.208  0.792  0.500
Cu  0.347  0.841  0.841
Cu  0.500  0.000  0.500
Cu  0.500  0.208  0.792
Cu  0.500  0.500  0.000
Cu  0.500  0.792  0.208
Cu  0.653  0.159  0.159
Cu  0.792  0.208  0.500
Cu  0.792  0.500  0.208
Cu  0.841  0.347  0.841
Cu  0.841  0.841  0.347